[1]
Material: Bi2AsSe
Method: DFT, PBE-GGA
State: relaxed

Structure (CIF):
```
data_Bi2AsSe
_chemical_formula_sum 'Bi8 As4 Se4'
_space_group_name_H-M_alt 'I -4 2 d'
_space_group_IT_number 122
_space_group_name_Hall 'I -4 2bw'
_cell_length_a 7.4112
_cell_length_b 7.4112
_cell_length_c 10.1736
_cell_angle_alpha 90.00
_cell_angle_beta 90.00
_cell_angle_gamma 90.00
loop_
_atom_site_label
_atom_site_type_symbol
_atom_site_fract_x
_atom_site_fract_y
_atom_site_fract_z
_atom_site_occupancy
Bi1 Bi 0.2400 0.7500 0.1250 1
As1 As 0.0000 0.0000 0.0000 1
Se1 Se 0.0000 0.0000 0.5000 1
```

formation energy without anion corrections: 0.25 eV/f.u.
V: 139.7 Å³/f.u.

***

[2]
Material: In2CuI
Method: DFT, PBE-GGA
State: relaxed

Structure (CIF):
```
data_In2CuI
_chemical_formula_sum 'In8 Cu4 I4'
_space_group_name_H-M_alt 'F m -3 m'
_space_group_IT_number 225
_space_group_name_Hall '-F 4 2 3'
_cell_length_a 7.8115
_cell_length_b 7.8115
_cell_length_c 7.8115
_cell_angle_alpha 90.00
_cell_angle_beta 90.00
_cell_angle_gamma 90.00
loop_
_atom_site_label
_atom_site_type_symbol
_atom_site_fract_x
_atom_site_fract_y
_atom_site_fract_z
_atom_site_occupancy
In1 In 0.2500 0.2500 0.2500 1
Cu1 Cu 0.0000 0.0000 0.0000 1
I1 I 0.0000 0.0000 0.5000 1
```

formation energy without anion corrections: 1.17 eV/f.u.
V: 119.2 Å³/f.u.

***

[3]
Material: SrY3Ru
Method: DFT, PBE-GGA
State: relaxed

Structure (CIF):
```
data_SrY3Ru
_chemical_formula_sum 'Sr4 Y12 Ru4'
_space_group_name_H-M_alt 'C 1 2/m 1'
_space_group_IT_number 12
_space_group_name_Hall '-C 2y'
_cell_length_a 15.6322
_cell_length_b 5.1507
_cell_length_c 8.5627
_cell_angle_alpha 90.00
_cell_angle_beta 107.14
_cell_angle_gamma 90.00
loop_
_atom_site_label
_atom_site_type_symbol
_atom_site_fract_x
_atom_site_fract_y
_atom_site_fract_z
_atom_site_occupancy
Sr1 Sr 0.1235 0.0000 0.4840 1
Y1 Y 0.0688 0.0000 0.8690 1
Y2 Y 0.1067 0.5000 0.1384 1
Y3 Y 0.2180 0.5000 0.8273 1
Ru1 Ru 0.0426 0.5000 0.7536 1
```

V: 164.7 Å³/f.u.

***

[4]
Material: Be2CdGe2
Method: DFT, PBE-GGA
State: relaxed

Structure (CIF):
```
data_Be2CdGe2
_chemical_formula_sum 'Be4 Cd2 Ge4'
_space_group_name_H-M_alt 'I 4/m m m'
_space_group_IT_number 139
_space_group_name_Hall '-I 4 2'
_cell_length_a 3.9573
_cell_length_b 3.9573
_cell_length_c 10.1853
_cell_angle_alpha 90.00
_cell_angle_beta 90.00
_cell_angle_gamma 90.00
loop_
_atom_site_label
_atom_site_type_symbol
_atom_site_fract_x
_atom_site_fract_y
_atom_site_fract_z
_atom_site_occupancy
Be1 Be 0.0000 0.5000 0.2500 1
Cd1 Cd 0.0000 0.0000 0.0000 1
Ge1 Ge 0.0000 0.0000 0.3766 1
```

V: 79.8 Å³/f.u.

***

[5]
Material: Li2NpCl8
Method: DFT, PBE-GGA
State: relaxed

Structure (CIF):
```
data_Li2NpCl8
_chemical_formula_sum 'Li4 Np2 Cl16'
_space_group_name_H-M_alt 'C 1 2/m 1'
_space_group_IT_number 12
_space_group_name_Hall '-C 2y'
_cell_length_a 11.4825
_cell_length_b 9.6569
_cell_length_c 5.8610
_cell_angle_alpha 90.00
_cell_angle_beta 91.76
_cell_angle_gamma 90.00
loop_
_atom_site_label
_atom_site_type_symbol
_atom_site_fract_x
_atom_site_fract_y
_atom_site_fract_z
_atom_site_occupancy
Li1 Li 0.0887 0.0000 0.1766 1
Np1 Np 0.0000 0.5000 0.5000 1
Cl1 Cl 0.0883 0.3189 0.2675 1
Cl2 Cl 0.1080 0.0000 0.7823 1
Cl3 Cl 0.1776 0.5000 0.7536 1
```

formation energy without anion corrections: -15.03 eV/f.u.
V: 324.8 Å³/f.u.

***

[6]
Material: CsRb2AuF
Method: DFT, PBE-GGA
State: relaxed

Structure (CIF):
```
data_CsRb2AuF
_chemical_formula_sum 'Cs1 Rb2 Au1 F1'
_space_group_name_H-M_alt 'P 4/m m m'
_space_group_IT_number 123
_space_group_name_Hall '-P 4 2'
_cell_length_a 5.6131
_cell_length_b 5.6131
_cell_length_c 6.0075
_cell_angle_alpha 90.00
_cell_angle_beta 90.00
_cell_angle_gamma 90.00
loop_
_atom_site_label
_atom_site_type_symbol
_atom_site_fract_x
_atom_site_fract_y
_atom_site_fract_z
_atom_site_occupancy
Cs1 Cs 0.0000 0.0000 0.0000 1
Rb1 Rb 0.0000 0.5000 0.5000 1
Au1 Au 0.5000 0.5000 0.0000 1
F1 F 0.0000 0.0000 0.5000 1
```

formation energy without anion corrections: -5.68 eV/f.u.
V: 189.3 Å³/f.u.

***

no.,E above lowest polymorph (eV per formula unit),total moment (μB/atom)
1,0.64,0.00
2,0.80,0.00
3,0.83,0.00
4,0.00,0.00
5,0.00,0.08
6,0.00,0.00